LiTlTe2, single point on PBEsol structure, DFT meta-GGA SCAN; SG = No. 123; formation energy (no corrections) = -9.07 kcal/mol of atoms; V = 108 Å³ per cell
1.0
4.027 0.000 0.000
0.000 4.027 0.000
0.000 0.000 6.672
Li Tl Te
1 1 2
Cartesian
0.000 0.000 0.000
0.000 0.000 3.336
2.014 2.014 1.454
2.014 2.014 5.218

---

LiTl2Te, single point on PBEsol structure, DFT meta-GGA SCAN; SG = No. 122; formation energy (no corrections) = -7.66 kcal/mol of atoms; V = 226 Å³ per cell; excess energy over the best structure of this formula in the dataset = 17 meV per atom
1.0
-4.307 4.307 3.043
4.307 -4.307 3.043
4.307 4.307 -3.043
Li Tl Te
2 4 2
Cartesian
0.000 0.000 0.000
0.000 4.307 1.522
2.153 2.129 -0.761
2.178 -2.153 3.804
2.153 2.178 2.283
2.129 6.460 0.761
4.307 0.000 1.522
0.000 0.000 3.043

---

LiTlTe, single point on PBEsol structure, DFT meta-GGA SCAN; SG = No. 107; formation energy (no corrections) = -10.61 kcal/mol of atoms; V = 83 Å³ per cell; excess energy over the best structure of this formula in the dataset = 144 meV per atom
1.0
-2.127 2.127 4.563
2.127 -2.127 4.563
2.127 2.127 -4.563
Li Tl Te
1 1 1
Cartesian
0.000 0.000 0.000
0.000 0.000 6.259
0.000 0.000 3.102

---

LiTl2Te, single point on PBEsol structure, DFT meta-GGA SCAN; SG = No. 139; formation energy (no corrections) = -8.04 kcal/mol of atoms; V = 108 Å³ per cell; excess energy over the best structure of this formula in the dataset = 0 meV per atom
1.0
-2.185 2.185 5.632
2.185 -2.185 5.632
2.185 2.185 -5.632
Li Tl Te
1 2 1
Cartesian
0.000 0.000 0.000
2.185 0.000 2.816
0.000 2.185 2.816
0.000 0.000 5.632

---

Li2TeW, single point on PBEsol structure, DFT meta-GGA SCAN; SG = No. 99; formation energy (no corrections) = 5.45 kcal/mol of atoms; V = 67 Å³ per cell
1.0
3.387 0.000 0.000
0.000 3.387 0.000
0.000 0.000 5.856
Li Te W
2 1 1
Cartesian
0.000 0.000 0.000
1.693 1.693 1.329
0.000 0.000 3.023
1.693 1.693 4.333

---

LiTe2W, single point on PBEsol structure, DFT meta-GGA SCAN; SG = No. 99; formation energy (no corrections) = 3.98 kcal/mol of atoms; V = 86 Å³ per cell
1.0
3.493 0.000 0.000
0.000 3.493 0.000
0.000 0.000 7.011
Li Te W
1 2 1
Cartesian
0.000 0.000 0.000
0.000 0.000 4.219
1.746 1.746 1.097
1.746 1.746 5.474